Record 1
Material: CrFeMo2
Method: DFT, SCAN
State: single point on PBEsol structure

Properties
Uncorrected energy: -26.4117 eV per atom
N(E_F): 2.92 states/eV/cell
ΔE to the lowest computed polymorph: 0.16 eV/f.u.

Structure (extended XYZ):
```
4
Lattice="-2.878 -0.573 -0.727 1.236 -3.290 -2.300 0.470 -0.530 4.845" Properties=species:S:1:pos:R:3 pbc="T T T"
Cr -0.349 -2.444 3.308
Fe 0.445 -2.854 0.486
Mo -0.001 -0.009 0.012
Mo -1.619 -1.547 1.343
```

---

Record 2
Material: Ti3RePd
Method: DFT, SCAN
State: single point on PBEsol structure

Properties
Uncorrected energy: -29.8085 eV per atom
N(E_F): 6.98 states/eV/cell

Structure (extended XYZ):
```
5
Lattice="-3.148 3.123 -1.399 -0.719 -2.462 -3.879 -3.346 -2.410 2.150" Properties=species:S:1:pos:R:3 pbc="T T T"
Re 0.000 0.000 0.000
Pd -3.606 -0.875 -1.564
Ti -0.359 -1.231 -1.939
Ti -1.673 -1.205 1.075
Ti -1.574 1.561 -0.699
```

---

Record 3
Material: Ho3Ni2Ru4
Method: DFT, SCAN
State: single point on PBEsol structure

Properties
Uncorrected energy: -35.8528 eV per atom
N(E_F): 11.97 states/eV/cell

Structure (extended XYZ):
```
18
Lattice="5.155 0.001 0.009 2.555 4.487 -0.004 0.267 -0.101 12.598" Properties=species:S:1:pos:R:3 pbc="T T T"
Ho 5.318 2.891 10.009
Ho 2.634 4.462 1.565
Ho 2.698 1.435 5.777
Ho 5.279 2.952 6.825
Ho 5.343 -0.075 11.037
Ho 2.659 1.496 2.593
Ni 2.577 0.000 0.004
Ni 5.255 1.458 4.202
Ni 2.721 2.929 8.401
Ni 3.855 2.244 0.002
Ru 6.520 3.707 4.185
Ru 1.457 0.680 8.418
Ru 5.221 2.957 2.061
Ru 0.134 -0.050 6.299
Ru 2.755 1.430 10.541
Ru 1.277 2.244 -0.002
Ru 3.960 3.710 4.180
Ru 4.016 0.676 8.422
```

---

Record 4
Material: LiTaAsBr2
Method: DFT, SCAN
State: single point on PBEsol structure

Properties
Uncorrected energy: -25.0180 eV per atom
N(E_F): 2.91 states/eV/cell
Raw formation energy: 0.5985 eV/atom

Structure (extended XYZ):
```
5
Lattice="-0.943 -1.625 -4.003 1.365 -4.000 1.302 -4.740 -1.108 1.567" Properties=species:S:1:pos:R:3 pbc="T T T"
As -2.370 -0.554 0.783
Li 0.000 0.000 0.000
Br 0.683 -2.000 0.651
Br -0.472 -0.813 -2.002
Ta -2.159 -3.366 -0.567
```

---

Record 5
Material: SrNi2Pd
Method: DFT, SCAN
State: single point on PBEsol structure

Properties
Uncorrected energy: -21.5096 eV per atom
N(E_F): 1.54 states/eV/cell

Structure (extended XYZ):
```
4
Lattice="4.479 0.000 0.000 2.239 3.879 0.000 2.239 1.293 3.657" Properties=species:S:1:pos:R:3 pbc="T T T"
Sr 0.000 0.000 0.000
Pd 4.479 2.586 1.829
Ni 2.239 1.293 0.914
Ni 6.718 3.879 2.743
```

---

Record 6
Material: KMnAs2F
Method: DFT, SCAN
State: single point on PBEsol structure

Properties
Uncorrected energy: -14.7022 eV per atom
N(E_F): 0.87 states/eV/cell
Raw formation energy: -0.6011 eV/atom

Structure (extended XYZ):
```
5
Lattice="-0.618 -4.026 -1.493 1.623 1.177 -3.846 6.518 -1.814 2.195" Properties=species:S:1:pos:R:3 pbc="T T T"
As 0.811 0.589 -1.923
As -0.309 -2.013 -0.746
Mn 0.000 0.000 0.000
K 3.259 -0.907 1.097
F 3.762 -2.331 -1.572
```

---

Record 7
Material: Zn2CuP
Method: DFT, SCAN
State: single point on PBEsol structure

Properties
Uncorrected energy: -12.9785 eV per atom
N(E_F): 1.81 states/eV/cell

Structure (extended XYZ):
```
4
Lattice="2.847 0.000 0.000 1.423 2.465 0.000 1.423 0.822 7.741" Properties=species:S:1:pos:R:3 pbc="T T T"
Cu 2.847 1.644 3.782
P 1.423 0.822 2.055
Zn 4.270 2.465 0.033
Zn 4.270 2.465 5.741
```

---

Record 8
Material: BaCaP2
Method: DFT, SCAN
State: single point on PBEsol structure

Properties
Uncorrected energy: -18.2110 eV per atom
N(E_F): 4.36 states/eV/cell
ΔE to the lowest computed polymorph: 1.11 eV/f.u.

Structure (extended XYZ):
```
4
Lattice="5.214 0.000 0.000 2.607 4.516 0.000 2.607 1.505 4.257" Properties=species:S:1:pos:R:3 pbc="T T T"
Ba 0.000 0.000 0.000
Ca 5.214 3.010 2.129
P 2.607 1.505 1.064
P 7.821 4.516 3.193
```

---

Record 9
Material: KTlCl2
Method: DFT, SCAN
State: single point on PBEsol structure

Properties
Uncorrected energy: -25.7664 eV per atom
N(E_F): 0.00 states/eV/cell
Raw formation energy: -1.6057 eV/atom
ΔE to the lowest computed polymorph: 0.09 eV/f.u.

Structure (extended XYZ):
```
4
Lattice="3.739 0.000 0.000 0.000 3.739 0.000 0.000 0.000 7.508" Properties=species:S:1:pos:R:3 pbc="T T T"
Tl 1.870 1.870 0.000
K 1.870 1.870 3.754
Cl 0.000 0.000 1.920
Cl 0.000 0.000 5.588
```

---

Record 10
Material: La2Co2Cu
Method: DFT, SCAN
State: single point on PBEsol structure

Properties
Uncorrected energy: -27.0508 eV per atom
N(E_F): 4.96 states/eV/cell

Structure (extended XYZ):
```
5
Lattice="-0.800 3.245 0.417 -0.987 -0.649 3.153 8.922 0.315 1.061" Properties=species:S:1:pos:R:3 pbc="T T T"
Co 3.521 0.482 3.000
Co 3.615 2.429 1.632
Cu 0.000 0.000 0.000
La 6.218 1.249 2.204
La 0.917 1.661 2.427
```

---

Record 11
Material: NaLiPS2
Method: DFT, SCAN
State: single point on PBEsol structure

Properties
Uncorrected energy: -6.5783 eV per atom
N(E_F): 5.18 states/eV/cell
Raw formation energy: 0.6736 eV/atom

Structure (extended XYZ):
```
5
Lattice="4.789 0.000 0.000 0.000 4.907 0.000 0.000 0.000 4.907" Properties=species:S:1:pos:R:3 pbc="T T T"
P 2.394 0.000 0.000
S 0.000 0.000 2.453
S 0.000 2.453 0.000
Li 2.394 2.453 2.453
Na 0.000 0.000 0.000
```

---

Record 12
Material: FeMoP2S
Method: DFT, SCAN
State: single point on PBEsol structure

Properties
Uncorrected energy: -15.9258 eV per atom
N(E_F): 3.94 states/eV/cell
Raw formation energy: 0.7622 eV/atom

Structure (extended XYZ):
```
5
Lattice="4.509 0.000 0.000 0.000 4.666 0.000 0.000 0.000 4.666" Properties=species:S:1:pos:R:3 pbc="T T T"
S 2.255 0.000 0.000
P 0.000 0.000 2.333
P 0.000 2.333 0.000
Mo 0.000 0.000 0.000
Fe 2.255 2.333 2.333
```